No. 1
A relaxed structure of ZnSb2PPt. Source: Alexandria, functional GGA-PBE.

The total DFT energy (no corrections) is -3.341 eV/atom. As for the space group: P4/mmm. The calculation puts the density at 7.6 g cm⁻³.

a b c (Å): 5.1917 4.3336 5.1917
angles (deg): 90.00 90.00 90.00
Closest atoms and distances in Å follow each position.
Atoms (fractional coordinates):
1 Sb 0.0000 0.0000 0.5000  2 Zn 2.60
2 Sb 0.5000 0.0000 0.0000  2 Zn 2.60
3 Zn 0.0000 0.0000 0.0000  2 P 2.17
4 Pt 0.5000 0.5000 0.5000  8 Sb 3.38, 4 P 3.67
5 P 0.0000 0.5000 0.0000  2 Zn 2.17

---

No. 2
A relaxed structure of AcNdCo. Source: Alexandria, functional GGA-PBE.

The total DFT energy (no corrections) is -5.335 eV/atom. As for the space group: C2/m. The calculation puts the density at 8.1 g cm⁻³. The calculation puts the formation energy at -0.007 eV/atom.

a b c (Å): 3.9207 6.4295 7.5838
angles (deg): 88.49 75.02 72.25
Closest atoms and distances in Å follow each position.
Atoms (fractional coordinates):
1 Ac 0.5710 0.2359 0.6221  2 Co 2.87
2 Ac 0.4290 0.7641 0.3779  2 Co 2.87
3 Nd 0.2936 0.2824 0.1305  2 Co 2.76
4 Nd 0.7064 0.7176 0.8695  2 Co 2.76
5 Co 0.9889 0.1325 0.8897  1 Co 2.35
6 Co 0.0111 0.8675 0.1103  1 Co 2.35